This record from Alexandria via LeMat-Bulk describes a relaxed structure of Tm8TlCd2. The functional is PBE.

## Properties
Calculated total energy, eV/cell: -41.80
Energy relative to the elements, meV per atom: -166.1
Energy relative to the lowest polymorph listed for this composition, kJ per mole of atoms: 0.0
Space-group type: C2/m
Magnetization, Bohr magnetons per cell: 0.0
Crystal system: monoclinic

a = 5.229 Å, b = 8.406 Å, c = 8.462 Å
α = 118.94°, β = 108.00°, γ = 90.00°
Positions (direct):
Tm (0.594, 0.458, 0.188)
Tm (0.317, 0.049, 0.635)
Tm (0.140, 0.186, 0.280)
Tm (0.066, 0.720, 0.133)
Tm (0.860, 0.814, 0.720)
Tm (0.683, 0.951, 0.365)
Tm (0.406, 0.542, 0.812)
Tm (0.934, 0.280, 0.867)
Tl (0.500, 0.000, 0.000)
Cd (0.224, 0.614, 0.447)
Cd (0.776, 0.386, 0.553)